Crystalline Pu2ThPa at its relaxed geometry, computed with PBE-GGA.

Properties
* symmetry: No. 166
* size of the total moment: 10.62 μB/cell
* offset from the most stable computed form: 0.000 eV/atom
* total energy: -11.221 eV per atom
* N(E_F): 16.12 states/eV/cell

The structure in POSCAR format:
```
Pu2ThPa
1.0
1.699 0.981 10.719
-1.699 0.981 10.719
0.000 -1.962 10.719
Pu Th Pa
2 1 1
direct
0.245 0.245 0.245
0.755 0.755 0.755
0.000 0.000 0.000
0.500 0.500 0.500
```

Crystalline Pu2ThPa at its relaxed geometry, computed with PBE-GGA.

Properties
* symmetry: No. 123
* size of the total moment: 11.35 μB/cell
* offset from the most stable computed form: 0.014 eV/atom
* total energy: -11.207 eV per atom
* N(E_F): 15.25 states/eV/cell

The structure in POSCAR format:
```
Pu2ThPa
1.0
3.848 0.000 0.000
0.000 3.848 0.000
0.000 0.000 6.984
Pu Th Pa
2 1 1
direct
0.000 0.000 0.219
0.000 0.000 0.781
0.500 0.500 0.500
0.500 0.500 0.000
```